[1]
The following is a SCAN calculation of a PBEsol-optimized structure of Hg2PCl, from Alexandria via LeMat-Bulk.

Structure (CIF):
```
data_Hg2PCl
_cell_length_a 3.784
_cell_length_b 4.397
_cell_length_c 6.692
_cell_angle_alpha 90.77
_cell_angle_beta 90.00
_cell_angle_gamma 115.48
_symmetry_space_group_name_H-M 'P 1'
_symmetry_Int_Tables_number 1
loop_
_symmetry_equiv_pos_as_xyz
'x,y,z'
loop_
_atom_site_label
_atom_site_type_symbol
_atom_site_fract_x
_atom_site_fract_y
_atom_site_fract_z
_atom_site_occupancy
Cl1 Cl 0.746 0.493 0.757 1
Hg1 Hg 0.953 0.906 0.042 1
Hg2 Hg 0.257 0.513 0.420 1
P1 P 0.544 0.088 0.281 1
```

Values from the calculation:
* crystal system: monoclinic
* M_tot: 0.00 μB/f.u.
* uncorrected formation energy: -14.2 meV per atom
* distance to the lowest polymorph of the same formula: 208 meV/atom

=====

[2]
The following is a SCAN calculation of a PBEsol-optimized structure of PbBr, from Alexandria via LeMat-Bulk.

Structure (CIF):
```
data_PbBr
_cell_length_a 3.469
_cell_length_b 5.393
_cell_length_c 6.228
_cell_angle_alpha 90.00
_cell_angle_beta 90.00
_cell_angle_gamma 90.00
_symmetry_space_group_name_H-M 'P 1'
_symmetry_Int_Tables_number 1
loop_
_symmetry_equiv_pos_as_xyz
'x,y,z'
loop_
_atom_site_label
_atom_site_type_symbol
_atom_site_fract_x
_atom_site_fract_y
_atom_site_fract_z
_atom_site_occupancy
Pb1 Pb 0.000 0.000 0.192 1
Pb2 Pb 0.500 0.500 0.808 1
Br1 Br 0.000 0.000 0.673 1
Br2 Br 0.500 0.500 0.327 1
```

Values from the calculation:
* crystal system: orthorhombic
* M_tot: 0.00 μB/f.u.
* uncorrected formation energy: -401.0 meV per atom

=====

[3]
The following is a SCAN calculation of a PBEsol-optimized structure of Li2MnCrO4, from Alexandria via LeMat-Bulk.

Structure (CIF):
```
data_Li2MnCrO4
_cell_length_a 5.724
_cell_length_b 5.724
_cell_length_c 5.885
_cell_angle_alpha 61.40
_cell_angle_beta 61.40
_cell_angle_gamma 90.22
_symmetry_space_group_name_H-M 'P 1'
_symmetry_Int_Tables_number 1
loop_
_symmetry_equiv_pos_as_xyz
'x,y,z'
loop_
_atom_site_label
_atom_site_type_symbol
_atom_site_fract_x
_atom_site_fract_y
_atom_site_fract_z
_atom_site_occupancy
Li1 Li 0.500 0.500 0.500 1
Li2 Li 0.500 0.500 0.000 1
Li3 Li 0.500 0.000 0.500 1
Li4 Li 0.000 0.500 0.000 1
Mn1 Mn 0.500 0.000 0.000 1
Mn2 Mn 0.000 0.500 0.500 1
Cr1 Cr 0.000 0.000 0.000 1
Cr2 Cr 0.000 0.000 0.500 1
O1 O 0.762 0.785 0.962 1
O2 O 0.215 0.238 0.538 1
O3 O 0.785 0.762 0.462 1
O4 O 0.238 0.215 0.038 1
O5 O 0.779 0.267 0.482 1
O6 O 0.733 0.221 0.018 1
O7 O 0.267 0.779 0.982 1
O8 O 0.221 0.733 0.518 1
```

Values from the calculation:
* crystal system: monoclinic
* M_tot: 7.00 μB/f.u.
* uncorrected formation energy: -2374.7 meV per atom
* distance to the lowest polymorph of the same formula: 0 meV/atom

=====

[4]
The following is a SCAN calculation of a PBEsol-optimized structure of Y2TaAl, from Alexandria via LeMat-Bulk.

Structure (CIF):
```
data_Y2TaAl
_cell_length_a 3.197
_cell_length_b 3.197
_cell_length_c 10.472
_cell_angle_alpha 81.22
_cell_angle_beta 81.22
_cell_angle_gamma 60.00
_symmetry_space_group_name_H-M 'P 1'
_symmetry_Int_Tables_number 1
loop_
_symmetry_equiv_pos_as_xyz
'x,y,z'
loop_
_atom_site_label
_atom_site_type_symbol
_atom_site_fract_x
_atom_site_fract_y
_atom_site_fract_z
_atom_site_occupancy
Y1 Y 0.991 0.991 0.028 1
Y2 Y 0.759 0.759 0.724 1
Al1 Al 0.507 0.507 0.479 1
Ta1 Ta 0.244 0.244 0.269 1
```

Values from the calculation:
* crystal system: trigonal
* M_tot: 0.00 μB/f.u.
* ΔH_f (0 K): 1.0 eV per formula unit

=====

[5]
The following is a SCAN calculation of a PBEsol-optimized structure of KBaSb2, from Alexandria via LeMat-Bulk.

Structure (CIF):
```
data_KBaSb2
_cell_length_a 4.361
_cell_length_b 4.757
_cell_length_c 7.279
_cell_angle_alpha 90.00
_cell_angle_beta 90.11
_cell_angle_gamma 90.00
_symmetry_space_group_name_H-M 'P 1'
_symmetry_Int_Tables_number 1
loop_
_symmetry_equiv_pos_as_xyz
'x,y,z'
loop_
_atom_site_label
_atom_site_type_symbol
_atom_site_fract_x
_atom_site_fract_y
_atom_site_fract_z
_atom_site_occupancy
Sb1 Sb 0.000 0.000 0.695 1
Sb2 Sb 0.000 0.000 0.305 1
K1 K 0.500 0.500 0.000 1
Ba1 Ba 0.500 0.500 0.500 1
```

Values from the calculation:
* crystal system: monoclinic
* M_tot: 0.00 μB/f.u.
* uncorrected formation energy: -723.3 meV per atom

=====

[6]
The following is a SCAN calculation of a PBEsol-optimized structure of Sc2GaFeIr, from Alexandria via LeMat-Bulk.

Structure (CIF):
```
data_Sc2GaFeIr
_cell_length_a 4.164
_cell_length_b 4.838
_cell_length_c 4.838
_cell_angle_alpha 90.00
_cell_angle_beta 90.00
_cell_angle_gamma 90.00
_symmetry_space_group_name_H-M 'P 1'
_symmetry_Int_Tables_number 1
loop_
_symmetry_equiv_pos_as_xyz
'x,y,z'
loop_
_atom_site_label
_atom_site_type_symbol
_atom_site_fract_x
_atom_site_fract_y
_atom_site_fract_z
_atom_site_occupancy
Sc1 Sc 0.000 0.000 0.500 1
Sc2 Sc 0.000 0.500 0.000 1
Ir1 Ir 0.500 0.500 0.500 1
Fe1 Fe 0.500 0.000 0.000 1
Ga1 Ga 0.000 0.000 0.000 1
```

Values from the calculation:
* crystal system: tetragonal
* M_tot: 1.79 μB/f.u.
* ΔH_f (0 K): 2.6 eV per formula unit

=====

[7]
The following is a SCAN calculation of a PBEsol-optimized structure of FeSN2O, from Alexandria via LeMat-Bulk.

Structure (CIF):
```
data_FeSN2O
_cell_length_a 3.471
_cell_length_b 3.471
_cell_length_c 3.662
_cell_angle_alpha 90.00
_cell_angle_beta 90.00
_cell_angle_gamma 90.00
_symmetry_space_group_name_H-M 'P 1'
_symmetry_Int_Tables_number 1
loop_
_symmetry_equiv_pos_as_xyz
'x,y,z'
loop_
_atom_site_label
_atom_site_type_symbol
_atom_site_fract_x
_atom_site_fract_y
_atom_site_fract_z
_atom_site_occupancy
S1 S 0.000 0.000 0.000 1
Fe1 Fe 0.500 0.500 0.500 1
O1 O 0.000 0.000 0.500 1
N1 N 0.000 0.500 0.000 1
N2 N 0.500 0.000 0.000 1
```

Values from the calculation:
* crystal system: tetragonal
* M_tot: 4.52 μB/f.u.
* uncorrected formation energy: 1050.5 meV per atom

=====

[8]
The following is a SCAN calculation of a PBEsol-optimized structure of SrIrN2, from Alexandria via LeMat-Bulk.

Structure (CIF):
```
data_SrIrN2
_cell_length_a 3.761
_cell_length_b 3.761
_cell_length_c 6.513
_cell_angle_alpha 73.22
_cell_angle_beta 73.22
_cell_angle_gamma 60.00
_symmetry_space_group_name_H-M 'P 1'
_symmetry_Int_Tables_number 1
loop_
_symmetry_equiv_pos_as_xyz
'x,y,z'
loop_
_atom_site_label
_atom_site_type_symbol
_atom_site_fract_x
_atom_site_fract_y
_atom_site_fract_z
_atom_site_occupancy
Sr1 Sr 0.500 0.500 0.500 1
Ir1 Ir 0.000 0.000 0.000 1
N1 N 0.904 0.904 0.288 1
N2 N 0.096 0.096 0.712 1
```

Values from the calculation:
* crystal system: trigonal
* M_tot: 0.00 μB/f.u.
* uncorrected formation energy: 117.4 meV per atom
* distance to the lowest polymorph of the same formula: 0 meV/atom

=====

[9]
The following is a SCAN calculation of a PBEsol-optimized structure of NaBiTe2N, from Alexandria via LeMat-Bulk.

Structure (CIF):
```
data_NaBiTe2N
_cell_length_a 4.243
_cell_length_b 5.563
_cell_length_c 5.563
_cell_angle_alpha 90.00
_cell_angle_beta 90.00
_cell_angle_gamma 90.00
_symmetry_space_group_name_H-M 'P 1'
_symmetry_Int_Tables_number 1
loop_
_symmetry_equiv_pos_as_xyz
'x,y,z'
loop_
_atom_site_label
_atom_site_type_symbol
_atom_site_fract_x
_atom_site_fract_y
_atom_site_fract_z
_atom_site_occupancy
Na1 Na 0.000 0.000 0.000 1
Te1 Te 0.000 0.000 0.500 1
Te2 Te 0.000 0.500 0.000 1
Bi1 Bi 0.500 0.500 0.500 1
N1 N 0.500 0.000 0.000 1
```

Values from the calculation:
* crystal system: tetragonal
* M_tot: 3.11 μB/f.u.
* uncorrected formation energy: 901.6 meV per atom

=====

[10]
The following is a SCAN calculation of a PBEsol-optimized structure of MnSi2As, from Alexandria via LeMat-Bulk.

Structure (CIF):
```
data_MnSi2As
_cell_length_a 4.203
_cell_length_b 4.203
_cell_length_c 4.203
_cell_angle_alpha 60.00
_cell_angle_beta 60.00
_cell_angle_gamma 60.00
_symmetry_space_group_name_H-M 'P 1'
_symmetry_Int_Tables_number 1
loop_
_symmetry_equiv_pos_as_xyz
'x,y,z'
loop_
_atom_site_label
_atom_site_type_symbol
_atom_site_fract_x
_atom_site_fract_y
_atom_site_fract_z
_atom_site_occupancy
As1 As 0.500 0.500 0.500 1
Mn1 Mn 0.250 0.250 0.250 1
Si1 Si 0.000 0.000 0.000 1
Si2 Si 0.750 0.750 0.750 1
```

Values from the calculation:
* crystal system: cubic
* M_tot: 0.01 μB/f.u.
* uncorrected formation energy: 527.7 meV per atom

=====

[11]
The following is a SCAN calculation of a PBEsol-optimized structure of Cu2Pt, from Alexandria via LeMat-Bulk.

Structure (CIF):
```
data_Cu2Pt
_cell_length_a 2.742
_cell_length_b 2.742
_cell_length_c 15.176
_cell_angle_alpha 95.18
_cell_angle_beta 95.18
_cell_angle_gamma 90.00
_symmetry_space_group_name_H-M 'P 1'
_symmetry_Int_Tables_number 1
loop_
_symmetry_equiv_pos_as_xyz
'x,y,z'
loop_
_atom_site_label
_atom_site_type_symbol
_atom_site_fract_x
_atom_site_fract_y
_atom_site_fract_z
_atom_site_occupancy
Cu1 Cu 0.994 0.994 0.988 1
Cu2 Cu 0.443 0.443 0.887 1
Cu3 Cu 0.893 0.893 0.786 1
Cu4 Cu 0.777 0.777 0.555 1
Cu5 Cu 0.227 0.227 0.453 1
Cu6 Cu 0.110 0.110 0.220 1
Pt1 Pt 0.335 0.335 0.670 1
Pt2 Pt 0.669 0.669 0.337 1
Pt3 Pt 0.552 0.552 0.103 1
```

Values from the calculation:
* crystal system: tetragonal
* M_tot: 0.00 μB/f.u.
* ΔH_f (0 K): -0.4 eV per formula unit
* distance to the lowest polymorph of the same formula: 43 meV/atom

=====

[12]
The following is a SCAN calculation of a PBEsol-optimized structure of Cr2Co2Se, from Alexandria via LeMat-Bulk.

Structure (CIF):
```
data_Cr2Co2Se
_cell_length_a 3.149
_cell_length_b 3.149
_cell_length_c 6.591
_cell_angle_alpha 103.82
_cell_angle_beta 103.82
_cell_angle_gamma 90.00
_symmetry_space_group_name_H-M 'P 1'
_symmetry_Int_Tables_number 1
loop_
_symmetry_equiv_pos_as_xyz
'x,y,z'
loop_
_atom_site_label
_atom_site_type_symbol
_atom_site_fract_x
_atom_site_fract_y
_atom_site_fract_z
_atom_site_occupancy
Co1 Co 0.599 0.599 0.198 1
Co2 Co 0.401 0.401 0.802 1
Cr1 Cr 0.250 0.750 0.500 1
Cr2 Cr 0.750 0.250 0.500 1
Se1 Se 0.000 0.000 0.000 1
```

Values from the calculation:
* crystal system: tetragonal
* M_tot: 0.00 μB/f.u.
* uncorrected formation energy: 606.2 meV per atom

=====

[13]
The following is a SCAN calculation of a PBEsol-optimized structure of As3RuC, from Alexandria via LeMat-Bulk.

Structure (CIF):
```
data_As3RuC
_cell_length_a 4.666
_cell_length_b 4.666
_cell_length_c 4.666
_cell_angle_alpha 90.00
_cell_angle_beta 90.00
_cell_angle_gamma 90.00
_symmetry_space_group_name_H-M 'P 1'
_symmetry_Int_Tables_number 1
loop_
_symmetry_equiv_pos_as_xyz
'x,y,z'
loop_
_atom_site_label
_atom_site_type_symbol
_atom_site_fract_x
_atom_site_fract_y
_atom_site_fract_z
_atom_site_occupancy
Ru1 Ru 0.000 0.000 0.000 1
As1 As 0.000 0.500 0.000 1
As2 As 0.000 0.000 0.500 1
As3 As 0.500 0.000 0.000 1
C1 C 0.500 0.500 0.500 1
```

Values from the calculation:
* crystal system: cubic
* M_tot: 0.70 μB/f.u.
* ΔH_f (0 K): 8.7 eV per formula unit